Entry 1:
4
Lattice="-1.8453 2.0340 7.0837 1.8453 -2.0340 7.0837 1.8453 2.0340 -7.0837" Properties=species:S:1:pos:R:3 comment="SrTe2Ru PBE relaxed" n_ef_per_ev_atom=0.47 de_polymorph_kj_per_mol_atoms=28.55 crystal_system=orthorhombic rho_kg_m3=6931 formation_energy_uncorrected_ev_per_atom=-0.366 pbc="T T T"
Sr 0.0000 0.0000 0.0000
Te 1.8453 0.0000 4.5505
Te 0.0000 0.0000 8.8104
Ru 0.0000 2.0340 3.6428

Entry 2:
4
Lattice="0.0000 3.7074 3.7074 3.7074 0.0000 3.7074 3.7074 3.7074 0.0000" Properties=species:S:1:pos:R:3 comment="SrTe2Ru PBE relaxed" n_ef_per_ev_atom=0.87 de_polymorph_kj_per_mol_atoms=91.03 crystal_system=cubic rho_kg_m3=7232 formation_energy_uncorrected_ev_per_atom=0.282 pbc="T T T"
Sr 0.0000 0.0000 0.0000
Te 1.8537 1.8537 1.8537
Te 3.7074 3.7074 3.7074
Ru 5.5611 5.5611 5.5611